The following is a PBE calculation of a relaxed Li2PuTl2Se4 crystal, from Alexandria via LeMat-Bulk. Values from VASP.

Cell and atoms, written as Quantum ESPRESSO input:
```
&SYSTEM
  ibrav = 0, nat = 9, ntyp = 4
/
ATOMIC_SPECIES
Li 6.94 Li.upf
Pu 244.00 Pu.upf
Tl 204.38 Tl.upf
Se 78.96 Se.upf
CELL_PARAMETERS angstrom
7.682 -2.135 0.000
7.682 2.135 0.000
-2.719 0.000 7.192
ATOMIC_POSITIONS crystal
Li 0.182 0.182 0.490
Li 0.818 0.818 0.510
Pu 0.500 0.500 0.500
Tl 0.360 0.360 0.936
Tl 0.640 0.640 0.064
Se 0.014 0.014 0.267
Se 0.302 0.302 0.319
Se 0.698 0.698 0.681
Se 0.986 0.986 0.733
```

Properties
- DOS(E_F): 11.68 states/eV/f.u.
- Uncorrected formation energy: -8.7 eV per formula unit
- Crystal system: monoclinic


The following is a PBE calculation of a relaxed LiPuTlSe3 crystal, from Alexandria via LeMat-Bulk. Values from VASP.

Cell and atoms, written as Quantum ESPRESSO input:
```
&SYSTEM
  ibrav = 0, nat = 12, ntyp = 4
/
ATOMIC_SPECIES
Li 6.94 Li.upf
Pu 244.00 Pu.upf
Tl 204.38 Tl.upf
Se 78.96 Se.upf
CELL_PARAMETERS angstrom
8.979 0.000 0.000
0.000 4.225 0.000
-2.457 0.000 8.979
ATOMIC_POSITIONS crystal
Li 0.079 0.250 0.094
Li 0.921 0.750 0.906
Pu 0.326 0.750 0.346
Pu 0.674 0.250 0.654
Tl 0.198 0.250 0.750
Tl 0.802 0.750 0.250
Se 0.127 0.250 0.376
Se 0.211 0.750 0.039
Se 0.460 0.750 0.660
Se 0.540 0.250 0.340
Se 0.789 0.250 0.961
Se 0.873 0.750 0.624
```

Properties
- DOS(E_F): 9.95 states/eV/f.u.
- Uncorrected formation energy: -6.2 eV per formula unit
- Crystal system: monoclinic


The following is a PBE calculation of a relaxed Li2TmPu3Se6 crystal, from Alexandria via LeMat-Bulk. Values from VASP.

Cell and atoms, written as Quantum ESPRESSO input:
```
&SYSTEM
  ibrav = 0, nat = 12, ntyp = 4
/
ATOMIC_SPECIES
Li 6.94 Li.upf
Tm 168.93 Tm.upf
Pu 244.00 Pu.upf
Se 78.96 Se.upf
CELL_PARAMETERS angstrom
10.801 -2.018 0.000
10.801 2.018 0.000
-1.931 0.000 6.810
ATOMIC_POSITIONS crystal
Li 0.182 0.182 0.004
Li 0.818 0.818 0.996
Tm 0.500 0.500 0.000
Pu 0.333 0.333 0.478
Pu 0.500 0.500 0.500
Pu 0.667 0.667 0.522
Se 0.063 0.063 0.293
Se 0.251 0.251 0.740
Se 0.395 0.395 0.154
Se 0.605 0.605 0.846
Se 0.749 0.749 0.260
Se 0.937 0.937 0.707
```

Properties
- DOS(E_F): 30.73 states/eV/f.u.
- Uncorrected formation energy: -16.8 eV per formula unit
- Crystal system: monoclinic


The following is a PBE calculation of a relaxed Li3Tm2PuSe6 crystal, from Alexandria via LeMat-Bulk. Values from VASP.

Cell and atoms, written as Quantum ESPRESSO input:
```
&SYSTEM
  ibrav = 0, nat = 12, ntyp = 4
/
ATOMIC_SPECIES
Li 6.94 Li.upf
Tm 168.93 Tm.upf
Pu 244.00 Pu.upf
Se 78.96 Se.upf
CELL_PARAMETERS angstrom
3.521 -6.097 0.000
3.521 6.097 0.000
-2.346 0.000 6.467
ATOMIC_POSITIONS crystal
Li 0.000 0.000 0.000
Li 0.333 0.667 0.000
Li 0.667 0.333 0.000
Tm 0.167 0.833 0.500
Tm 0.833 0.167 0.500
Pu 0.500 0.500 0.500
Se 0.075 0.416 0.248
Se 0.244 0.244 0.753
Se 0.416 0.075 0.248
Se 0.584 0.925 0.752
Se 0.756 0.756 0.247
Se 0.925 0.584 0.752
```

Properties
- DOS(E_F): 12.77 states/eV/f.u.
- Uncorrected formation energy: -18.9 eV per formula unit
- Crystal system: monoclinic


The following is a PBE calculation of a relaxed LiTm3Pu2Se6 crystal, from Alexandria via LeMat-Bulk. Values from VASP.

Cell and atoms, written as Quantum ESPRESSO input:
```
&SYSTEM
  ibrav = 0, nat = 12, ntyp = 4
/
ATOMIC_SPECIES
Li 6.94 Li.upf
Tm 168.93 Tm.upf
Pu 244.00 Pu.upf
Se 78.96 Se.upf
CELL_PARAMETERS angstrom
3.508 -6.081 0.000
3.508 6.081 0.000
-2.347 0.000 6.665
ATOMIC_POSITIONS crystal
Li 0.000 0.000 0.000
Tm 0.169 0.831 0.500
Tm 0.500 0.500 0.500
Tm 0.831 0.169 0.500
Pu 0.334 0.666 0.000
Pu 0.666 0.334 0.000
Se 0.085 0.409 0.255
Se 0.239 0.239 0.744
Se 0.409 0.085 0.255
Se 0.591 0.915 0.745
Se 0.761 0.761 0.256
Se 0.915 0.591 0.745
```

Properties
- DOS(E_F): 20.36 states/eV/f.u.
- Uncorrected formation energy: -19.6 eV per formula unit
- Crystal system: monoclinic


The following is a PBE calculation of a relaxed LiTmPu2Se4 crystal, from Alexandria via LeMat-Bulk. Values from VASP.

Cell and atoms, written as Quantum ESPRESSO input:
```
&SYSTEM
  ibrav = 0, nat = 8, ntyp = 4
/
ATOMIC_SPECIES
Li 6.94 Li.upf
Tm 168.93 Tm.upf
Pu 244.00 Pu.upf
Se 78.96 Se.upf
CELL_PARAMETERS angstrom
7.050 0.000 0.000
0.000 4.093 0.000
-2.363 0.000 6.666
ATOMIC_POSITIONS crystal
Li 0.000 0.000 0.000
Tm 0.000 0.500 0.500
Pu 0.500 0.000 0.500
Pu 0.500 0.500 0.000
Se 0.237 0.500 0.246
Se 0.238 0.000 0.748
Se 0.762 0.000 0.252
Se 0.763 0.500 0.754
```

Properties
- DOS(E_F): 17.62 states/eV/f.u.
- Uncorrected formation energy: -12.5 eV per formula unit
- Crystal system: monoclinic


The following is a PBE calculation of a relaxed LiTmPuSe3 crystal, from Alexandria via LeMat-Bulk. Values from VASP.

Cell and atoms, written as Quantum ESPRESSO input:
```
&SYSTEM
  ibrav = 0, nat = 12, ntyp = 4
/
ATOMIC_SPECIES
Li 6.94 Li.upf
Tm 168.93 Tm.upf
Pu 244.00 Pu.upf
Se 78.96 Se.upf
CELL_PARAMETERS angstrom
8.345 0.000 0.000
0.000 4.008 0.000
-1.999 0.000 8.553
ATOMIC_POSITIONS crystal
Li 0.086 0.250 0.082
Li 0.914 0.750 0.918
Tm 0.333 0.750 0.335
Tm 0.667 0.250 0.665
Pu 0.181 0.250 0.723
Pu 0.819 0.750 0.277
Se 0.101 0.250 0.367
Se 0.226 0.750 0.002
Se 0.430 0.750 0.669
Se 0.570 0.250 0.331
Se 0.774 0.250 0.998
Se 0.899 0.750 0.633
```

Properties
- DOS(E_F): 12.16 states/eV/f.u.
- Uncorrected formation energy: -9.2 eV per formula unit
- Crystal system: monoclinic


The following is a PBE calculation of a relaxed LiTm2PuSe4 crystal, from Alexandria via LeMat-Bulk. Values from VASP.

Cell and atoms, written as Quantum ESPRESSO input:
```
&SYSTEM
  ibrav = 0, nat = 8, ntyp = 4
/
ATOMIC_SPECIES
Li 6.94 Li.upf
Tm 168.93 Tm.upf
Pu 244.00 Pu.upf
Se 78.96 Se.upf
CELL_PARAMETERS angstrom
7.007 0.000 0.000
0.000 4.041 0.000
-2.358 0.000 6.646
ATOMIC_POSITIONS crystal
Li 0.000 0.000 0.000
Tm 0.000 0.500 0.500
Tm 0.500 0.000 0.500
Pu 0.500 0.500 0.000
Se 0.242 0.000 0.745
Se 0.244 0.500 0.253
Se 0.756 0.500 0.747
Se 0.758 0.000 0.255
```

Properties
- DOS(E_F): 12.33 states/eV/f.u.
- Uncorrected formation energy: -13.1 eV per formula unit
- Crystal system: monoclinic


The following is a PBE calculation of a relaxed Li2PuU3Se6 crystal, from Alexandria via LeMat-Bulk. Values from VASP.

Cell and atoms, written as Quantum ESPRESSO input:
```
&SYSTEM
  ibrav = 0, nat = 12, ntyp = 4
/
ATOMIC_SPECIES
Li 6.94 Li.upf
Pu 244.00 Pu.upf
U 238.03 U.upf
Se 78.96 Se.upf
CELL_PARAMETERS angstrom
8.888 -1.997 0.000
8.888 1.997 0.000
-2.043 0.000 7.974
ATOMIC_POSITIONS crystal
Li 0.170 0.170 0.344
Li 0.830 0.830 0.656
Pu 0.500 0.500 0.000
U 0.167 0.167 0.838
U 0.500 0.500 0.500
U 0.833 0.833 0.162
Se 0.004 0.004 0.254
Se 0.331 0.331 0.417
Se 0.332 0.332 0.904
Se 0.668 0.668 0.096
Se 0.669 0.669 0.583
Se 0.996 0.996 0.746
```

Properties
- DOS(E_F): 21.97 states/eV/f.u.
- Uncorrected formation energy: -14.2 eV per formula unit
- Crystal system: monoclinic


The following is a PBE calculation of a relaxed LiPuU2Se4 crystal, from Alexandria via LeMat-Bulk. Values from VASP.

Cell and atoms, written as Quantum ESPRESSO input:
```
&SYSTEM
  ibrav = 0, nat = 8, ntyp = 4
/
ATOMIC_SPECIES
Li 6.94 Li.upf
Pu 244.00 Pu.upf
U 238.03 U.upf
Se 78.96 Se.upf
CELL_PARAMETERS angstrom
6.907 0.000 0.000
0.000 3.974 0.000
-2.314 0.000 6.901
ATOMIC_POSITIONS crystal
Li 0.000 0.000 0.000
Pu 0.500 0.500 0.000
U 0.000 0.500 0.500
U 0.500 0.000 0.500
Se 0.239 0.500 0.242
Se 0.244 0.000 0.755
Se 0.756 0.000 0.245
Se 0.761 0.500 0.758
```

Properties
- DOS(E_F): 17.92 states/eV/f.u.
- Uncorrected formation energy: -9.5 eV per formula unit
- Crystal system: monoclinic


The following is a PBE calculation of a relaxed LiPu2USe6 crystal, from Alexandria via LeMat-Bulk. Values from VASP.

Cell and atoms, written as Quantum ESPRESSO input:
```
&SYSTEM
  ibrav = 0, nat = 10, ntyp = 4
/
ATOMIC_SPECIES
Li 6.94 Li.upf
Pu 244.00 Pu.upf
U 238.03 U.upf
Se 78.96 Se.upf
CELL_PARAMETERS angstrom
6.611 0.000 0.000
0.000 6.611 0.000
0.000 0.000 6.697
ATOMIC_POSITIONS crystal
Li 0.000 0.000 0.000
Pu 0.000 0.500 0.473
Pu 0.500 0.000 0.473
U 0.500 0.500 0.058
Se 0.000 0.000 0.633
Se 0.239 0.239 0.212
Se 0.239 0.761 0.212
Se 0.500 0.500 0.645
Se 0.761 0.239 0.212
Se 0.761 0.761 0.212
```

Properties
- DOS(E_F): 31.86 states/eV/f.u.
- Uncorrected formation energy: -9.5 eV per formula unit
- Crystal system: tetragonal


The following is a PBE calculation of a relaxed Li4PuU3Se8 crystal, from Alexandria via LeMat-Bulk. Values from VASP.

Cell and atoms, written as Quantum ESPRESSO input:
```
&SYSTEM
  ibrav = 0, nat = 16, ntyp = 4
/
ATOMIC_SPECIES
Li 6.94 Li.upf
Pu 244.00 Pu.upf
U 238.03 U.upf
Se 78.96 Se.upf
CELL_PARAMETERS angstrom
6.943 -4.078 0.000
6.943 4.078 0.000
-4.552 0.000 6.652
ATOMIC_POSITIONS crystal
Li 0.000 0.000 0.000
Li 0.000 0.500 0.500
Li 0.500 0.000 0.500
Li 0.500 0.500 0.000
Pu 0.000 0.000 0.500
U 0.000 0.500 0.000
U 0.500 0.000 0.000
U 0.500 0.500 0.500
Se 0.247 0.247 0.254
Se 0.251 0.745 0.755
Se 0.254 0.254 0.752
Se 0.255 0.749 0.245
Se 0.745 0.251 0.755
Se 0.746 0.746 0.248
Se 0.749 0.255 0.245
Se 0.753 0.753 0.746
```

Properties
- DOS(E_F): 28.87 states/eV/f.u.
- Uncorrected formation energy: -19.4 eV per formula unit
- Crystal system: monoclinic